(1)
Entry from Alexandria via LeMat-Bulk: an optimized crystal structure of Y2Mg3Cu (PBE).

Results
Energy relative to the lowest polymorph listed for this composition   297 meV/atom
Formation enthalpy at 0 K   210.1 meV/atom

Geometry as CIF:
```
data_Y2Mg3Cu
_space_group_name_H-M_alt 'C m c m'
_space_group_IT_number 63
_space_group_name_Hall '-C 2c 2'
_cell_length_a 6.6427
_cell_length_b 14.7752
_cell_length_c 6.3149
_cell_angle_alpha 90.00
_cell_angle_beta 90.00
_cell_angle_gamma 90.00
loop_
_atom_site_label
_atom_site_type_symbol
_atom_site_fract_x
_atom_site_fract_y
_atom_site_fract_z
Y1 Y 0.2436 0.0000 0.0000
Mg1 Mg 0.0000 0.3489 0.2500
Mg2 Mg 0.2279 0.3047 0.7500
Cu1 Cu 0.0000 0.1331 0.7500
```

=====

(2)
Entry from Alexandria via LeMat-Bulk: an optimized crystal structure of AcPm2Pr4 (PBE).

Results
Energy relative to the lowest polymorph listed for this composition   0 meV/atom
Formation enthalpy at 0 K   113.4 meV/atom

Geometry as CIF:
```
data_AcPm2Pr4
_space_group_name_H-M_alt 'R -3 m'
_space_group_IT_number 166
_space_group_name_Hall '-R 3 2"'
_cell_length_a 5.8973
_cell_length_b 5.8973
_cell_length_c 25.6753
_cell_angle_alpha 90.00
_cell_angle_beta 90.00
_cell_angle_gamma 120.00
loop_
_atom_site_label
_atom_site_type_symbol
_atom_site_fract_x
_atom_site_fract_y
_atom_site_fract_z
Ac1 Ac 0.0000 0.0000 0.0000
Pm1 Pm 0.0000 0.0000 0.1378
Pr1 Pr 0.0000 0.0000 0.2692
Pr2 Pr 0.0000 0.0000 0.4202
```

=====

(3)
Entry from Alexandria via LeMat-Bulk: an optimized crystal structure of PtCSe2 (PBE).

Results
E_form (uncorrected)   1156 meV/atom

Geometry as CIF:
```
data_PtCSe2
_space_group_name_H-M_alt 'R -3 m'
_space_group_IT_number 166
_space_group_name_Hall '-R 3 2"'
_cell_length_a 3.1408
_cell_length_b 3.1408
_cell_length_c 22.8911
_cell_angle_alpha 90.00
_cell_angle_beta 90.00
_cell_angle_gamma 120.00
loop_
_atom_site_label
_atom_site_type_symbol
_atom_site_fract_x
_atom_site_fract_y
_atom_site_fract_z
Pt1 Pt 0.0000 0.0000 0.0000
C1 C 0.0000 0.0000 0.5000
Se1 Se 0.0000 0.0000 0.1060
```

=====

(4)
Entry from Alexandria via LeMat-Bulk: an optimized crystal structure of Nd6Dy3Sc (PBE).

Results
Energy relative to the lowest polymorph listed for this composition   74 meV/atom
Formation enthalpy at 0 K   211.9 meV/atom

Geometry as CIF:
```
data_Nd6Dy3Sc
_space_group_name_H-M_alt 'R -3'
_space_group_IT_number 148
_space_group_name_Hall '-R 3'
_cell_length_a 9.9066
_cell_length_b 9.9066
_cell_length_c 11.9211
_cell_angle_alpha 90.00
_cell_angle_beta 90.00
_cell_angle_gamma 120.00
loop_
_atom_site_label
_atom_site_type_symbol
_atom_site_fract_x
_atom_site_fract_y
_atom_site_fract_z
Nd1 Nd 0.0018 0.6715 0.4170
Dy1 Dy 0.0000 0.0000 0.0000
Dy2 Dy 0.0000 0.0000 0.2544
Sc1 Sc 0.0000 0.0000 0.5000
```

=====

(5)
Entry from Alexandria via LeMat-Bulk: an optimized crystal structure of POsC (PBE).

Results
Energy relative to the lowest polymorph listed for this composition   31 meV/atom
Formation enthalpy at 0 K   423.4 meV/atom

Geometry as CIF:
```
data_POsC
_space_group_name_H-M_alt 'P 3 m 1'
_space_group_IT_number 156
_space_group_name_Hall 'P 3 -2"'
_cell_length_a 3.2282
_cell_length_b 3.2282
_cell_length_c 4.2620
_cell_angle_alpha 90.00
_cell_angle_beta 90.00
_cell_angle_gamma 120.00
loop_
_atom_site_label
_atom_site_type_symbol
_atom_site_fract_x
_atom_site_fract_y
_atom_site_fract_z
P1 P 0.0000 0.0000 0.0000
Os1 Os 0.3333 0.6667 0.3328
C1 C 0.0000 0.0000 0.5800
```

=====

(6)
Entry from Alexandria via LeMat-Bulk: an optimized crystal structure of Dy6Er (PBE).

Results
Energy relative to the lowest polymorph listed for this composition   1248 meV/atom
Formation enthalpy at 0 K   1516.7 meV/atom

Geometry as CIF:
```
data_Dy6Er
_space_group_name_H-M_alt 'I m -3 m'
_space_group_IT_number 229
_space_group_name_Hall '-I 4 2 3'
_cell_length_a 7.9889
_cell_length_b 7.9889
_cell_length_c 7.9889
_cell_angle_alpha 90.00
_cell_angle_beta 90.00
_cell_angle_gamma 90.00
loop_
_atom_site_label
_atom_site_type_symbol
_atom_site_fract_x
_atom_site_fract_y
_atom_site_fract_z
Dy1 Dy 0.0000 0.2500 0.5000
Er1 Er 0.0000 0.0000 0.0000
```

=====

(7)
Entry from Alexandria via LeMat-Bulk: an optimized crystal structure of CaTaNbIr2 (PBE).

Results
Formation enthalpy at 0 K   -492.1 meV/atom

Geometry as CIF:
```
data_CaTaNbIr2
_space_group_name_H-M_alt 'I -4 m 2'
_space_group_IT_number 119
_space_group_name_Hall 'I -4 -2'
_cell_length_a 4.4637
_cell_length_b 4.4637
_cell_length_c 10.5208
_cell_angle_alpha 90.00
_cell_angle_beta 90.00
_cell_angle_gamma 90.00
loop_
_atom_site_label
_atom_site_type_symbol
_atom_site_fract_x
_atom_site_fract_y
_atom_site_fract_z
Ca1 Ca 0.0000 0.0000 0.0000
Ta1 Ta 0.0000 0.5000 0.2500
Nb1 Nb 0.0000 0.5000 0.7500
Ir1 Ir 0.0000 0.0000 0.3753
```

=====

(8)
Entry from Alexandria via LeMat-Bulk: an optimized crystal structure of MgFeTc2 (PBE).

Results
Formation enthalpy at 0 K   181.7 meV/atom

Geometry as CIF:
```
data_MgFeTc2
_space_group_name_H-M_alt 'I m m m'
_space_group_IT_number 71
_space_group_name_Hall '-I 2 2'
_cell_length_a 2.9697
_cell_length_b 4.3667
_cell_length_c 8.9132
_cell_angle_alpha 90.00
_cell_angle_beta 90.00
_cell_angle_gamma 90.00
loop_
_atom_site_label
_atom_site_type_symbol
_atom_site_fract_x
_atom_site_fract_y
_atom_site_fract_z
Mg1 Mg 0.0000 0.0000 0.0000
Fe1 Fe 0.0000 0.0000 0.5000
Tc1 Tc 0.0000 0.5000 0.2306
```